(1)
CsCaNdCl6, relaxed, DFT PBE-GGA; spin magnetization = 0.00 μB/f.u.; space group = P-31c, No. 163; formation energy from raw total energies = -2.295 eV per atom
1.0
7.298 0.000 0.000
-3.649 6.320 0.000
0.000 0.000 15.088
Cs Ca Nd Cl
2 2 2 12
direct
0.000 0.000 0.000 Cs
0.000 0.000 0.500 Cs
0.333 0.667 0.250 Ca
0.667 0.333 0.750 Ca
0.333 0.667 0.750 Nd
0.667 0.333 0.250 Nd
0.000 0.381 0.147 Cl
0.000 0.382 0.647 Cl
0.000 0.618 0.353 Cl
0.000 0.619 0.853 Cl
0.381 0.000 0.647 Cl
0.381 0.382 0.853 Cl
0.382 0.000 0.147 Cl
0.382 0.381 0.353 Cl
0.618 0.000 0.853 Cl
0.618 0.619 0.647 Cl
0.619 0.000 0.353 Cl
0.619 0.618 0.147 Cl

(2)
YAgMo2, relaxed, DFT PBE-GGA; formation enthalpy at 0 K = 0.8627 eV/atom; offset from the most stable computed form = 669.4 meV per atom; spin magnetization = 0.00 μB/f.u.; space group = Fm-3m, No. 225
1.0
0.000 3.340 3.340
3.340 0.000 3.340
3.340 3.340 0.000
Y Ag Mo
1 1 2
direct
0.000 0.000 0.000 Y
0.500 0.500 0.500 Ag
0.250 0.250 0.250 Mo
0.750 0.750 0.750 Mo

(3)
K2PtSe2O6, relaxed, DFT PBE-GGA; spin magnetization = 0.00 μB/f.u.; space group = C2/m, No. 12; formation energy from raw total energies = -1.048 eV per atom
1.0
6.193 -2.676 0.000
6.193 2.676 0.000
-3.917 0.000 6.838
K Pt Se O
2 1 2 6
direct
0.215 0.215 0.299 K
0.785 0.785 0.701 K
0.000 0.000 0.500 Pt
0.461 0.461 0.197 Se
0.539 0.539 0.803 Se
0.154 0.661 0.278 O
0.339 0.846 0.722 O
0.381 0.381 0.678 O
0.619 0.619 0.322 O
0.661 0.154 0.278 O
0.846 0.339 0.722 O

(4)
Li2InGe2, relaxed, DFT PBE-GGA; formation enthalpy at 0 K = -0.1898 eV/atom; offset from the most stable computed form = 0.0 meV per atom; spin magnetization = 0.00 μB/f.u.; space group = P4/mbm, No. 127
1.0
7.797 0.000 0.000
0.000 7.797 0.000
0.000 0.000 3.046
Li In Ge
4 2 4
direct
0.185 0.315 0.000 Li
0.315 0.815 0.000 Li
0.685 0.185 0.000 Li
0.815 0.685 0.000 Li
0.000 0.000 0.500 In
0.500 0.500 0.500 In
0.114 0.614 0.500 Ge
0.386 0.114 0.500 Ge
0.614 0.886 0.500 Ge
0.886 0.386 0.500 Ge

Please write out number 3 again, unchanged.
K2PtSe2O6, relaxed, DFT PBE-GGA; spin magnetization = 0.00 μB/f.u.; space group = C2/m, No. 12; formation energy from raw total energies = -1.048 eV per atom
1.0
6.193 -2.676 0.000
6.193 2.676 0.000
-3.917 0.000 6.838
K Pt Se O
2 1 2 6
direct
0.215 0.215 0.299 K
0.785 0.785 0.701 K
0.000 0.000 0.500 Pt
0.461 0.461 0.197 Se
0.539 0.539 0.803 Se
0.154 0.661 0.278 O
0.339 0.846 0.722 O
0.381 0.381 0.678 O
0.619 0.619 0.322 O
0.661 0.154 0.278 O
0.846 0.339 0.722 O

> What is the spin magnetization in the third record?

0.00 μB/f.u.

Please write out number 1 again, unchanged.
CsCaNdCl6, relaxed, DFT PBE-GGA; spin magnetization = 0.00 μB/f.u.; space group = P-31c, No. 163; formation energy from raw total energies = -2.295 eV per atom
1.0
7.298 0.000 0.000
-3.649 6.320 0.000
0.000 0.000 15.088
Cs Ca Nd Cl
2 2 2 12
direct
0.000 0.000 0.000 Cs
0.000 0.000 0.500 Cs
0.333 0.667 0.250 Ca
0.667 0.333 0.750 Ca
0.333 0.667 0.750 Nd
0.667 0.333 0.250 Nd
0.000 0.381 0.147 Cl
0.000 0.382 0.647 Cl
0.000 0.618 0.353 Cl
0.000 0.619 0.853 Cl
0.381 0.000 0.647 Cl
0.381 0.382 0.853 Cl
0.382 0.000 0.147 Cl
0.382 0.381 0.353 Cl
0.618 0.000 0.853 Cl
0.618 0.619 0.647 Cl
0.619 0.000 0.353 Cl
0.619 0.618 0.147 Cl